Record 1
A plane-wave DFT calculation with PBE was carried out for an optimized crystal structure of Li7Tl2Pd3.

Cell: 4.6605 29.2543 3.0242 Å, 90.00 90.00 90.00°
Space group Cmmm (No. 65)
Asymmetric unit:
1 Li 0.0000 0.0000 0.0000 x2
2 Li 0.0000 0.0859 0.5000 x4
3 Li 0.0000 0.2765 0.0000 x4
4 Li 0.0000 0.4293 0.0000 x4
5 Tl 0.0000 0.1732 0.0000 x4
6 Pd 0.0000 0.3567 0.5000 x4
7 Pd 0.0000 0.5000 0.5000 x2

---

Record 2
A plane-wave DFT calculation with PBE was carried out for an optimized crystal structure of Li2Tl2Pd7.

Cell: 10.2939 8.3407 4.6274 Å, 90.00 103.20 90.00°
Space group C2/m (No. 12)
Asymmetric unit:
1 Li 0.2381 0.0000 0.2951 x4
2 Tl 0.0000 0.2890 0.5000 x4
3 Pd 0.0000 0.5000 0.0000 x2
4 Pd 0.0695 0.0000 0.7940 x4
5 Pd 0.2105 0.3180 0.2223 x8

---

Record 3
A plane-wave DFT calculation with PBE was carried out for an optimized crystal structure of Li3Tl4Pd2.

Cell: 4.7435 4.7435 9.0338 Å, 90.00 90.00 120.00°
Space group P-3m1 (No. 164)
Asymmetric unit:
1 Li 0.0000 0.0000 0.0000 x1
2 Li 0.3333 0.6667 0.4477 x2
3 Tl 0.0000 0.0000 0.3299 x2
4 Tl 0.3333 0.6667 0.1118 x2
5 Pd 0.3333 0.6667 0.7688 x2

---

Record 4
A plane-wave DFT calculation with PBE was carried out for an optimized crystal structure of Li4Tl5Pd.

Cell: 3.4515 3.4515 17.4647 Å, 90.00 90.00 90.00°
Space group P4/mmm (No. 123)
Asymmetric unit:
1 Li 0.0000 0.0000 0.1027 x2
2 Li 0.0000 0.0000 0.3106 x2
3 Tl 0.5000 0.5000 0.0000 x1
4 Tl 0.5000 0.5000 0.2056 x2
5 Tl 0.5000 0.5000 0.4052 x2
6 Pd 0.0000 0.0000 0.5000 x1

---

Record 5
A plane-wave DFT calculation with PBE was carried out for an optimized crystal structure of Li5TlPd.

Cell: 5.0757 5.3893 9.1016 Å, 90.00 90.00 90.00°
Space group Imm2 (No. 44)
Asymmetric unit:
1 Li 0.0000 0.0000 0.0000 x2
2 Li 0.0000 0.2734 0.2699 x4
3 Li 0.2442 0.5000 0.9900 x4
4 Tl 0.0000 0.5000 0.6668 x2
5 Pd 0.0000 0.0000 0.7300 x2

---

Record 6
A plane-wave DFT calculation with PBE was carried out for an optimized crystal structure of Li4Tl2Pd3.

Cell: 7.7929 4.4853 8.1970 Å, 90.00 90.30 90.00°
Space group C2/m (No. 12)
Asymmetric unit:
1 Li 0.0005 0.0000 0.3455 x4
2 Li 0.1667 0.5000 0.8995 x4
3 Tl 0.1667 0.5000 0.2306 x4
4 Pd 0.0000 0.0000 0.0000 x2
5 Pd 0.1664 0.5000 0.5783 x4

---

Record 7
A plane-wave DFT calculation with PBE was carried out for an optimized crystal structure of Li6TlPd2.

Cell: 7.0755 7.6372 5.2109 Å, 90.00 96.26 90.00°
Space group C2/m (No. 12)
Asymmetric unit:
1 Li 0.0000 0.1740 0.0000 x4
2 Li 0.1628 0.3371 0.6742 x8
3 Tl 0.0000 0.0000 0.5000 x2
4 Pd 0.1649 0.5000 0.1647 x4

---

Record 8
A plane-wave DFT calculation with PBE was carried out for an optimized crystal structure of Li4Tl2Pd.

Cell: 8.0841 8.0841 8.0330 Å, 90.00 90.00 90.00°
Space group I-42d (No. 122)
Asymmetric unit:
1 Li 0.0709 0.6887 0.4765 x16
2 Tl 0.1007 0.7500 0.1250 x8
3 Pd 0.0000 0.0000 0.5000 x4

---

Record 9
A plane-wave DFT calculation with PBE was carried out for an optimized crystal structure of Li3Tl2Pd2.

Cell: 7.9924 4.6197 7.2373 Å, 90.00 112.01 90.00°
Space group C2/m (No. 12)
Asymmetric unit:
1 Li 0.0000 0.0000 0.0000 x2
2 Li 0.1429 0.0000 0.4294 x4
3 Tl 0.0788 0.5000 0.7350 x4
4 Pd 0.2171 0.5000 0.1541 x4

---

Record 10
A plane-wave DFT calculation with PBE was carried out for an optimized crystal structure of Li5TlPd4.

Cell: 13.3027 4.3824 5.3728 Å, 90.00 106.65 90.00°
Space group C2/m (No. 12)
Asymmetric unit:
1 Li 0.0000 0.0000 0.0000 x2
2 Li 0.1050 0.5000 0.8672 x4
3 Li 0.2069 0.0000 0.3056 x4
4 Tl 0.0000 0.0000 0.5000 x2
5 Pd 0.1047 0.5000 0.3666 x4
6 Pd 0.2087 0.0000 0.8074 x4

---

Record 11
A plane-wave DFT calculation with PBE was carried out for an optimized crystal structure of Li7TlPd2.

Cell: 7.5904 11.9605 4.7610 Å, 90.00 90.00 90.00°
Space group Cmmm (No. 65)
Asymmetric unit:
1 Li 0.0000 0.0000 0.0000 x2
2 Li 0.0000 0.1654 0.5000 x4
3 Li 0.1918 0.3745 0.0000 x8
4 Tl 0.0000 0.5000 0.5000 x2
5 Pd 0.0000 0.2066 0.0000 x4

---

Record 12
A plane-wave DFT calculation with PBE was carried out for an optimized crystal structure of Li2Tl2Pd5.

Cell: 13.7271 6.9184 7.0170 Å, 90.00 90.00 90.00°
Space group Ima2 (No. 46)
Asymmetric unit:
1 Li 0.0000 0.0000 0.0000 x4
2 Li 0.2500 0.0376 0.0065 x4
3 Tl 0.1293 0.5202 0.8669 x8
4 Pd 0.0459 0.6775 0.1874 x8
5 Pd 0.1505 0.1687 0.7092 x8
6 Pd 0.2500 0.6845 0.1893 x4

---

Short version: formation enthalpy at 0 K = -250, -120, -257, -217, -148, -343, -305, -185, -347, -383, -62, -168 meV per atom, in the order given.
Short version: final energy = -73.42, -92.46, -27.91, -26.85, -36.32, -62.12, -53.96, -75.49, -46.57, -73.08, -53.54, -144.14 eV for the cell shown, in the order given.